[1]
A relaxed structure of SmAg3. Source: Alexandria, functional GGA-PBE.

a b c (Å): 3.221 5.012 5.342
angles (deg): 90.00 90.00 90.00
Atoms (fractional coordinates):
Ag 0.000 0.000 0.978
Ag 0.500 0.000 0.523
Ag 0.500 0.500 0.833
Sm 0.000 0.500 0.332

SG: Pmm2, No. 25
Energy of formation: -49.9 meV/atom
Magnetic moment: 0.0 μB per formula unit

=====

[2]
A relaxed structure of SmAg3. Source: Alexandria, functional GGA-PBE.

a b c (Å): 5.279 5.073 6.422
angles (deg): 90.00 90.00 90.00
Atoms (fractional coordinates):
Sm 0.343 0.750 0.750
Sm 0.657 0.250 0.250
Ag 0.838 0.750 0.005
Ag 0.162 0.250 0.995
Ag 0.693 0.250 0.750
Ag 0.838 0.750 0.495
Ag 0.162 0.250 0.505
Ag 0.307 0.750 0.250

SG: Pmmn, No. 59
Energy of formation: -229.7 meV/atom
Magnetic moment: 0.0 μB per formula unit

=====

[3]
A relaxed structure of SmAg3. Source: Alexandria, functional GGA-PBE.

a b c (Å): 4.393 5.669 7.670
angles (deg): 90.00 90.00 112.80
Atoms (fractional coordinates):
Sm 0.570 0.141 0.250
Sm 0.430 0.859 0.750
Ag 0.721 0.443 0.750
Ag 0.279 0.557 0.250
Ag 0.129 0.258 0.557
Ag 0.871 0.742 0.443
Ag 0.129 0.258 0.943
Ag 0.871 0.742 0.057

SG: Cmcm, No. 63
Energy of formation: -212.0 meV/atom
Magnetic moment: 0.0 μB per formula unit

=====

[4]
A relaxed structure of SmAg6. Source: Alexandria, functional GGA-PBE.

a b c (Å): 6.353 6.353 6.353
angles (deg): 109.47 109.47 109.47
Atoms (fractional coordinates):
Sm 0.000 0.000 0.000
Ag 0.250 0.750 0.500
Ag 0.500 0.750 0.250
Ag 0.250 0.500 0.750
Ag 0.750 0.250 0.500
Ag 0.500 0.250 0.750
Ag 0.750 0.500 0.250

SG: Im-3m, No. 229
Energy of formation: 582.4 meV/atom
Magnetic moment: 0.0 μB per formula unit

=====

[5]
A relaxed structure of SmAg3. Source: Alexandria, functional GGA-PBE.

a b c (Å): 4.470 4.470 4.470
angles (deg): 90.00 90.00 90.00
Atoms (fractional coordinates):
Ag 0.000 0.500 0.500
Ag 0.500 0.000 0.500
Ag 0.500 0.500 0.000
Sm 0.000 0.000 0.000

SG: Pm-3m, No. 221
Energy of formation: -37.5 meV/atom
Magnetic moment: 0.0 μB per formula unit

=====

[6]
A relaxed structure of Sm4Ag3. Source: Alexandria, functional GGA-PBE.

a b c (Å): 5.206 5.206 8.944
angles (deg): 73.08 73.08 60.00
Atoms (fractional coordinates):
Sm 0.622 0.622 0.133
Sm 0.873 0.873 0.381
Sm 0.127 0.127 0.619
Sm 0.378 0.378 0.867
Ag 0.250 0.250 0.249
Ag 0.750 0.750 0.751
Ag 0.000 0.000 0.000

SG: R-3m, No. 166
Energy of formation: -121.0 meV/atom
Magnetic moment: 0.0 μB per formula unit

=====

[7]
A relaxed structure of Sm6Ag5. Source: Alexandria, functional GGA-PBE.

a b c (Å): 5.210 7.406 8.993
angles (deg): 114.32 106.84 90.00
Atoms (fractional coordinates):
Sm 0.500 0.752 0.000
Sm 0.500 0.248 0.000
Sm 0.837 0.085 0.673
Sm 0.837 0.589 0.673
Sm 0.163 0.915 0.327
Sm 0.163 0.411 0.327
Ag 0.000 0.500 0.000
Ag 0.669 0.669 0.338
Ag 0.331 0.331 0.662
Ag 0.330 0.830 0.659
Ag 0.670 0.170 0.341

SG: Immm, No. 71
Energy of formation: -179.1 meV/atom
Magnetic moment: 0.0 μB per formula unit

=====

[8]
A relaxed structure of Sm2Ag3. Source: Alexandria, functional GGA-PBE.

a b c (Å): 3.579 4.819 14.299
angles (deg): 90.00 97.19 90.00
Atoms (fractional coordinates):
Sm 0.291 0.750 0.582
Sm 0.709 0.250 0.418
Sm 0.574 0.750 0.147
Sm 0.426 0.250 0.853
Ag 0.174 0.750 0.348
Ag 0.826 0.250 0.652
Ag 0.881 0.750 0.761
Ag 0.119 0.250 0.239
Ag 0.023 0.250 0.046
Ag 0.977 0.750 0.954

SG: Cmcm, No. 63
Energy of formation: -245.5 meV/atom
Magnetic moment: 0.0 μB per formula unit

=====

[9]
A relaxed structure of Sm2Ag3. Source: Alexandria, functional GGA-PBE.

a b c (Å): 8.884 8.884 8.884
angles (deg): 109.47 109.47 109.47
Atoms (fractional coordinates):
Sm 0.923 0.423 0.423
Sm 0.000 0.000 0.077
Sm 0.577 0.500 0.000
Sm 0.500 0.077 0.500
Sm 0.423 0.923 0.923
Sm 0.000 0.000 0.577
Sm 0.500 0.577 0.500
Sm 0.077 0.500 0.000
Ag 0.509 0.250 0.259
Ag 0.991 0.750 0.241
Ag 0.750 0.259 0.009
Ag 0.250 0.241 0.491
Ag 0.759 0.009 0.250
Ag 0.741 0.491 0.750
Ag 0.250 0.509 0.759
Ag 0.750 0.991 0.741
Ag 0.259 0.750 0.509
Ag 0.241 0.250 0.991
Ag 0.009 0.759 0.750
Ag 0.491 0.741 0.250

SG: I-43d, No. 220
Energy of formation: -21.3 meV/atom
Magnetic moment: 0.0 μB per formula unit

=====

[10]
A relaxed structure of SmAgSn. Source: Alexandria, functional GGA-PBE.

a b c (Å): 4.887 4.887 7.515
angles (deg): 90.00 90.00 120.00
Atoms (fractional coordinates):
Ag 0.333 0.667 0.486
Ag 0.667 0.333 0.514
Sn 0.667 0.333 0.951
Sn 0.333 0.667 0.049
Sm 0.000 0.000 0.266
Sm 0.000 0.000 0.734

SG: P-3m1, No. 164
Energy of formation: -336.7 meV/atom
Magnetic moment: 0.0 μB per formula unit

=====

[11]
A relaxed structure of Sm2Ag3Sn. Source: Alexandria, functional GGA-PBE.

a b c (Å): 6.011 6.011 9.675
angles (deg): 113.63 113.63 73.12
Atoms (fractional coordinates):
Sm 0.750 0.250 0.500
Sm 0.761 0.239 0.000
Sm 0.250 0.750 0.500
Sm 0.239 0.761 0.000
Ag 0.834 0.834 0.165
Ag 0.669 0.669 0.835
Ag 0.166 0.166 0.835
Ag 0.331 0.331 0.165
Ag 0.167 0.167 0.334
Ag 0.833 0.833 0.666
Sn 0.665 0.665 0.329
Sn 0.335 0.335 0.671

SG: Fmmm, No. 69
Energy of formation: -387.5 meV/atom
Magnetic moment: 0.0 μB per formula unit

=====

[12]
A relaxed structure of SmAg3Sn3. Source: Alexandria, functional GGA-PBE.

a b c (Å): 7.525 7.525 7.525
angles (deg): 90.00 90.00 90.00
Atoms (fractional coordinates):
Ag 0.000 0.250 0.500
Ag 0.000 0.750 0.500
Ag 0.500 0.000 0.750
Ag 0.750 0.500 0.000
Ag 0.500 0.000 0.250
Ag 0.250 0.500 0.000
Sn 0.250 0.000 0.500
Sn 0.000 0.500 0.250
Sn 0.500 0.750 0.000
Sn 0.750 0.000 0.500
Sn 0.000 0.500 0.750
Sn 0.500 0.250 0.000
Sm 0.500 0.500 0.500
Sm 0.000 0.000 0.000

SG: Pm-3n, No. 223
Energy of formation: 328.2 meV/atom
Magnetic moment: 0.0 μB per formula unit

=====

> magnetic moment of number 5 (SmAg3)?

0.0 μB per formula unit